VASP calculation (PBE+U) on a relaxed Na2LaVF8 crystal.

Calculated values
Space group   P2/m (10)
Total DFT energy (no corrections)   -5.738 eV/atom
ρ   3.760 g cm⁻³
Total magnetization   2.000 μB per cell

a = 4.3049 Å, b = 7.2808 Å, c = 5.4683 Å
α = 90.00°, β = 92.14°, γ = 90.00°
Fractional coordinates of all 12 atoms:
1 Na 0.0000 0.2293 0.0000
2 Na 0.0000 0.7707 0.0000
3 La 0.5000 0.5000 0.5000
4 V 0.5000 0.0000 0.5000
5 F 0.0453 0.5000 0.2540
6 F 0.1375 0.0000 0.2798
7 F 0.3912 0.2185 0.7161
8 F 0.3912 0.7815 0.7161
9 F 0.6088 0.2185 0.2839
10 F 0.6088 0.7815 0.2839
11 F 0.8625 0.0000 0.7202
12 F 0.9547 0.5000 0.7460